1.
VASP calculation (GGA-PBE) on a relaxed structure of Ni5P3.

The structure in POSCAR format:
```
Ni5P3
1.0
2.962 -4.469 0.000
2.962 4.469 0.000
0.000 0.000 3.560
Ni P
5 3
direct
0.000 0.000 0.000
0.000 0.500 0.000
0.500 0.000 0.000
0.286 0.286 0.500
0.714 0.714 0.500
0.500 0.500 0.000
0.828 0.172 0.500
0.172 0.828 0.500
```

DOS(E_F)	0.68	states/eV/atom
uncorrected energy	-5.93	eV/atom
total magnetization	0.000	μB per atom

2.
VASP calculation (GGA-PBE) on a relaxed structure of Ni3P.

The structure in POSCAR format:
```
Ni3P
1.0
3.366 0.000 0.000
-1.683 3.953 0.000
0.000 0.000 6.656
Ni P
6 2
direct
0.443 0.886 0.750
0.557 0.114 0.250
0.143 0.287 0.941
0.857 0.713 0.059
0.857 0.713 0.441
0.143 0.287 0.559
0.741 0.481 0.750
0.259 0.519 0.250
```

DOS(E_F)	0.47	states/eV/atom
uncorrected energy	-6.12	eV/atom
total magnetization	0.000	μB per atom

3.
VASP calculation (GGA-PBE) on a relaxed structure of Ni3P.

The structure in POSCAR format:
```
Ni3P
1.0
3.629 0.000 0.000
0.000 2.678 0.003
0.000 1.174 4.570
Ni P
3 1
direct
0.000 0.863 0.767
0.500 0.500 0.500
0.000 0.137 0.233
0.500 0.500 0.000
```

DOS(E_F)	0.88	states/eV/atom
uncorrected energy	-5.90	eV/atom
total magnetization	0.000	μB per atom

4.
VASP calculation (GGA-PBE) on a relaxed structure of Ni3P5.

The structure in POSCAR format:
```
Ni3P5
1.0
3.275 -3.758 0.000
3.275 3.758 0.000
0.000 0.000 4.142
Ni P
3 5
direct
0.500 0.500 0.000
0.746 0.254 0.500
0.254 0.746 0.500
0.000 0.000 0.000
0.000 0.500 0.000
0.500 0.000 0.000
0.288 0.288 0.500
0.712 0.712 0.500
```

DOS(E_F)	0.35	states/eV/atom
uncorrected energy	-5.35	eV/atom
total magnetization	0.000	μB per atom

5.
VASP calculation (GGA-PBE) on a relaxed structure of NiP4.

The structure in POSCAR format:
```
NiP4
1.0
-2.690 2.690 2.690
2.690 -2.690 2.690
2.690 2.690 -2.690
Ni P
1 4
direct
0.000 0.000 0.000
0.500 0.000 0.000
0.500 0.500 0.500
0.000 0.500 0.000
0.000 0.000 0.500
```

DOS(E_F)	0.87	states/eV/atom
uncorrected energy	-5.08	eV/atom
total magnetization	0.000	μB per atom

6.
VASP calculation (GGA-PBE) on a relaxed structure of Ni4P3.

The structure in POSCAR format:
```
Ni4P3
1.0
2.336 -4.045 0.000
2.336 4.045 0.000
0.000 0.000 4.486
Ni P
4 3
direct
0.000 0.000 0.256
0.000 0.000 0.744
0.667 0.333 0.500
0.333 0.667 0.500
0.000 0.500 0.000
0.500 0.500 0.000
0.500 0.000 0.000
```

DOS(E_F)	1.15	states/eV/atom
uncorrected energy	-5.28	eV/atom
total magnetization	0.000	μB per atom